NaPa6S8 PBE optimized geometry; formation energy without anion corrections = -1.14 eV per atom; VASP energy = -7.23 eV per atom; crystal system = trigonal; DOS(E_F) = 20.91 states/eV/cell
1.0
5.788 3.341 3.960
-5.788 3.341 3.960
0.000 -6.683 3.960
Na Pa S
1 6 8
Direct
0.000 0.000 0.000
0.209 0.391 0.560
0.391 0.560 0.209
0.440 0.791 0.609
0.560 0.209 0.391
0.609 0.440 0.791
0.791 0.609 0.440
0.131 0.683 0.389
0.229 0.229 0.229
0.317 0.611 0.869
0.389 0.131 0.683
0.611 0.869 0.317
0.683 0.389 0.131
0.771 0.771 0.771
0.869 0.317 0.611